VASP calculation (PBE) on crystalline In6Hg3Pb at its relaxed geometry.

Properties
For the density of states at the Fermi level, the calculation gives 0.412 states/eV/atom. The calculation puts the relative energy among the computed polymorphs at 0.00 eV/f.u. The mass density comes out at 9.0 g cm⁻³.

Unit cell a=5.8218 b=10.2253 c=10.2253 alpha=114.26 beta=90.00 gamma=90.00
Last column: nearest neighbours and their distance in Å.
Positions (direct):
In 0.1775 0.7422 0.6536  4 Hg 3.09-3.26, 4 In 3.15-3.44, 1 Pb 3.28
In 0.6775 0.6536 0.7422  4 Hg 3.09-3.26, 4 In 3.15-3.44, 1 Pb 3.28
In 0.4923 0.5572 0.9780  1 Hg 3.11, 5 In 3.15-3.29, 1 Pb 3.38
In 0.9923 0.9780 0.5572  1 Hg 3.11, 5 In 3.15-3.29, 1 Pb 3.38
In 0.0574 0.0632 0.9368  6 Hg 3.26-3.59, 7 In 3.27-3.63
In 0.3214 0.2312 0.7688  3 Hg 3.16-3.25, 2 Pb 3.22-3.36, 5 In 3.23-3.29
In 0.8214 0.7688 0.2312  3 Hg 3.16-3.25, 2 Pb 3.22-3.36, 5 In 3.23-3.29
In 0.5574 0.9368 0.0632  6 Hg 3.26-3.59, 7 In 3.27-3.63
In 0.4923 0.0220 0.4428  1 Hg 3.11, 5 In 3.15-3.29, 1 Pb 3.38
In 0.9923 0.4428 0.0220  1 Hg 3.11, 5 In 3.15-3.29, 1 Pb 3.38
In 0.1775 0.3464 0.2578  4 Hg 3.09-3.26, 4 In 3.15-3.44, 1 Pb 3.28
In 0.6775 0.2578 0.3464  4 Hg 3.09-3.26, 4 In 3.15-3.44, 1 Pb 3.28
Hg 0.5904 0.9540 0.7469  6 In 3.09-3.32, 1 Hg 3.32
Hg 0.0904 0.7469 0.9540  6 In 3.09-3.32, 1 Hg 3.32
Hg 0.2784 0.4198 0.5802  5 In 3.12-3.26, 1 Pb 3.23
Hg 0.7784 0.5802 0.4198  5 In 3.12-3.26, 1 Pb 3.23
Hg 0.0904 0.0460 0.2531  6 In 3.09-3.32, 1 Hg 3.32
Hg 0.5904 0.2531 0.0460  6 In 3.09-3.32, 1 Hg 3.32
Pb 0.8077 0.3207 0.6793  8 In 3.22-3.53, 2 Hg 3.23-3.52
Pb 0.3077 0.6793 0.3207  8 In 3.22-3.53, 2 Hg 3.23-3.52


VASP calculation (PBE) on crystalline FeIrPb2 at its relaxed geometry.

Properties
For the density of states at the Fermi level, the calculation gives 0.698 states/eV/atom. The calculation puts the relative energy among the computed polymorphs at 0.89 eV/f.u. The mass density comes out at 13.2 g cm⁻³.

Unit cell a=5.3610 b=5.3610 c=5.5213 alpha=69.18 beta=69.18 gamma=34.36
Last column: nearest neighbours and their distance in Å.
Positions (direct):
Fe 0.5437 0.5437 0.5381  2 Ir 2.52, 1 Pb 2.82
Ir 0.2083 0.2083 0.2114  2 Fe 2.52
Pb 0.9705 0.9705 0.0591  3 Ir 2.86-2.96, 2 Fe 3.12, 2 Pb 3.17
Pb 0.7774 0.7774 0.6914  3 Fe 2.82-2.99, 2 Ir 3.12


Calculated calculated formation energy (eV/atom), listed in the same order as above: 0.027 0.462